Mn2AlP: optimized geometry, PBE.

Cell and atoms, written as POSCAR:
```
Mn2AlP
1.0
2.949 0.000 0.000
0.000 2.949 0.000
0.000 0.000 5.629
Mn Al P
2 1 1
direct
0.000 0.000 0.000
0.500 0.500 0.290
0.500 0.500 0.755
0.000 0.000 0.461
```

* calculated total energy: -7.11 eV per atom
* formation enthalpy at 0 K: -242 meV/atom
* distance to the lowest polymorph of the same formula: 65 meV per atom